This record from Alexandria describes an optimized crystal structure of Li2MnF6. The functional is PBEsol.

Properties
Formation energy without anion corrections (eV per formula unit): -24.05
Relative energy among the computed polymorphs (meV/atom): 1
Fermi-level density of states (states/eV per atom): 0.00

a = 4.564 Å, b = 4.564 Å, c = 8.766 Å
α = 90.00°, β = 90.00°, γ = 90.00°
Atoms (fractional coordinates):
Li 0.000 0.000 0.163
Li 0.000 0.000 0.837
Li 0.500 0.500 0.337
Li 0.500 0.500 0.663
Mn 0.000 0.000 0.500
Mn 0.500 0.500 0.000
F 0.191 0.191 0.348
F 0.191 0.191 0.652
F 0.218 0.218 0.000
F 0.282 0.718 0.500
F 0.309 0.691 0.152
F 0.309 0.691 0.848
F 0.691 0.309 0.152
F 0.691 0.309 0.848
F 0.718 0.282 0.500
F 0.782 0.782 0.000
F 0.809 0.809 0.348
F 0.809 0.809 0.652


This record from Alexandria describes an optimized crystal structure of Li10Mn3F16. The functional is PBEsol.

Properties
Formation energy without anion corrections (eV per formula unit): -76.64
Fermi-level density of states (states/eV per atom): 0.18

a = 10.008 Å, b = 10.008 Å, c = 10.008 Å
α = 34.12°, β = 34.12°, γ = 34.12°
Atoms (fractional coordinates):
Li 0.000 0.000 0.000
Li 0.000 0.000 0.500
Li 0.000 0.500 0.000
Li 0.245 0.751 0.751
Li 0.249 0.249 0.755
Li 0.249 0.755 0.249
Li 0.500 0.000 0.000
Li 0.751 0.245 0.751
Li 0.751 0.751 0.245
Li 0.755 0.249 0.249
Mn 0.310 0.310 0.310
Mn 0.500 0.500 0.500
Mn 0.690 0.690 0.690
F 0.106 0.106 0.655
F 0.106 0.655 0.106
F 0.127 0.127 0.127
F 0.139 0.621 0.621
F 0.345 0.894 0.894
F 0.379 0.379 0.861
F 0.379 0.861 0.379
F 0.381 0.381 0.381
F 0.619 0.619 0.619
F 0.621 0.139 0.621
F 0.621 0.621 0.139
F 0.655 0.106 0.106
F 0.861 0.379 0.379
F 0.873 0.873 0.873
F 0.894 0.345 0.894
F 0.894 0.894 0.345


This record from Alexandria describes an optimized crystal structure of LiMnF4. The functional is PBEsol.

Properties
Formation energy without anion corrections (eV per formula unit): -15.29

a = 5.062 Å, b = 5.562 Å, c = 5.881 Å
α = 64.42°, β = 70.11°, γ = 89.12°
Atoms (fractional coordinates):
Li 0.059 0.427 0.246
Li 0.941 0.573 0.754
Mn 0.455 0.220 0.744
Mn 0.545 0.780 0.256
F 0.180 0.332 0.957
F 0.262 0.855 0.487
F 0.279 0.369 0.488
F 0.325 0.812 0.042
F 0.675 0.188 0.958
F 0.721 0.631 0.512
F 0.738 0.145 0.513
F 0.820 0.668 0.043


This record from Alexandria describes an optimized crystal structure of Li2MnF4. The functional is PBEsol.

Properties
Formation energy without anion corrections (eV per formula unit): -18.37
Relative energy among the computed polymorphs (meV/atom): 8
Fermi-level density of states (states/eV per atom): 0.00

a = 5.664 Å, b = 10.259 Å, c = 4.953 Å
α = 90.00°, β = 90.00°, γ = 90.00°
Atoms (fractional coordinates):
Li 0.000 0.000 0.000
Li 0.000 0.500 0.000
Li 0.250 0.022 0.487
Li 0.250 0.478 0.487
Li 0.500 0.000 0.000
Li 0.500 0.500 0.000
Li 0.750 0.522 0.513
Li 0.750 0.978 0.513
Mn 0.250 0.250 0.862
Mn 0.250 0.750 0.533
Mn 0.750 0.250 0.467
Mn 0.750 0.750 0.138
F 0.000 0.121 0.668
F 0.000 0.379 0.668
F 0.000 0.621 0.332
F 0.000 0.879 0.332
F 0.250 0.107 0.149
F 0.250 0.393 0.149
F 0.250 0.599 0.800
F 0.250 0.901 0.800
F 0.500 0.121 0.668
F 0.500 0.379 0.668
F 0.500 0.621 0.332
F 0.500 0.879 0.332
F 0.750 0.099 0.200
F 0.750 0.401 0.200
F 0.750 0.607 0.851
F 0.750 0.893 0.851


This record from Alexandria describes an optimized crystal structure of LiMnF4. The functional is PBEsol.

Properties
Formation energy without anion corrections (eV per formula unit): -15.35
Fermi-level density of states (states/eV per atom): 0.14

a = 10.757 Å, b = 5.635 Å, c = 4.874 Å
α = 90.00°, β = 90.00°, γ = 90.00°
Atoms (fractional coordinates):
Li 0.072 0.250 0.119
Li 0.428 0.750 0.619
Li 0.572 0.250 0.381
Li 0.928 0.750 0.881
Mn 0.243 0.750 0.065
Mn 0.257 0.250 0.565
Mn 0.743 0.750 0.435
Mn 0.757 0.250 0.935
F 0.097 0.750 0.880
F 0.112 0.250 0.750
F 0.182 0.018 0.292
F 0.182 0.482 0.292
F 0.318 0.518 0.792
F 0.318 0.982 0.792
F 0.388 0.750 0.250
F 0.403 0.250 0.380
F 0.597 0.750 0.620
F 0.612 0.250 0.750
F 0.682 0.018 0.208
F 0.682 0.482 0.208
F 0.818 0.518 0.708
F 0.818 0.982 0.708
F 0.888 0.750 0.250
F 0.903 0.250 0.120


This record from Alexandria describes an optimized crystal structure of Li3MnF5. The functional is PBEsol.

Properties
Formation energy without anion corrections (eV per formula unit): -23.82
Fermi-level density of states (states/eV per atom): 0.00

a = 5.363 Å, b = 6.173 Å, c = 6.210 Å
α = 70.86°, β = 70.11°, γ = 87.97°
Atoms (fractional coordinates):
Li 0.013 0.226 0.301
Li 0.191 0.394 0.626
Li 0.191 0.926 0.080
Li 0.809 0.074 0.920
Li 0.809 0.606 0.374
Li 0.987 0.774 0.699
Mn 0.500 0.000 0.500
Mn 0.500 0.500 0.000
F 0.103 0.101 0.606
F 0.108 0.236 0.971
F 0.186 0.514 0.276
F 0.344 0.670 0.602
F 0.491 0.130 0.144
F 0.509 0.870 0.856
F 0.656 0.330 0.398
F 0.814 0.486 0.724
F 0.892 0.764 0.029
F 0.897 0.899 0.394


This record from Alexandria describes an optimized crystal structure of Li2MnF6. The functional is PBEsol.

Properties
Formation energy without anion corrections (eV per formula unit): -24.06
Relative energy among the computed polymorphs (meV/atom): 0
Fermi-level density of states (states/eV per atom): 0.00

a = 8.369 Å, b = 8.369 Å, c = 4.569 Å
α = 90.00°, β = 90.00°, γ = 120.00°
Atoms (fractional coordinates):
Li 0.000 0.363 0.000
Li 0.000 0.699 0.500
Li 0.301 0.301 0.500
Li 0.363 0.000 0.000
Li 0.637 0.637 0.000
Li 0.699 0.000 0.500
Mn 0.000 0.000 0.000
Mn 0.333 0.667 0.491
Mn 0.667 0.333 0.509
F 0.097 0.207 0.222
F 0.110 0.903 0.222
F 0.128 0.578 0.267
F 0.207 0.097 0.778
F 0.223 0.460 0.715
F 0.237 0.777 0.715
F 0.422 0.549 0.267
F 0.451 0.872 0.267
F 0.460 0.223 0.285
F 0.540 0.763 0.715
F 0.549 0.422 0.733
F 0.578 0.128 0.733
F 0.763 0.540 0.285
F 0.777 0.237 0.285
F 0.793 0.890 0.222
F 0.872 0.451 0.733
F 0.890 0.793 0.778
F 0.903 0.110 0.778


This record from Alexandria describes an optimized crystal structure of LiMnF4. The functional is PBEsol.

Properties
Formation energy without anion corrections (eV per formula unit): -15.41

a = 4.554 Å, b = 9.660 Å, c = 7.566 Å
α = 90.00°, β = 124.32°, γ = 90.00°
Atoms (fractional coordinates):
Li 0.192 0.220 0.225
Li 0.192 0.280 0.725
Li 0.808 0.720 0.275
Li 0.808 0.780 0.775
Mn 0.000 0.000 0.500
Mn 0.000 0.500 0.000
Mn 0.500 0.000 0.000
Mn 0.500 0.500 0.500
F 0.018 0.088 0.726
F 0.018 0.412 0.226
F 0.200 0.155 0.475
F 0.200 0.345 0.975
F 0.280 0.655 0.505
F 0.280 0.845 0.005
F 0.485 0.077 0.224
F 0.485 0.423 0.724
F 0.515 0.577 0.276
F 0.515 0.923 0.776
F 0.720 0.155 0.995
F 0.720 0.345 0.495
F 0.800 0.655 0.025
F 0.800 0.845 0.525
F 0.982 0.588 0.774
F 0.982 0.912 0.274


This record from Alexandria describes an optimized crystal structure of LiMnF4. The functional is PBEsol.

Properties
Formation energy without anion corrections (eV per formula unit): -15.27

a = 6.194 Å, b = 6.194 Å, c = 13.255 Å
α = 90.00°, β = 90.00°, γ = 120.00°
Atoms (fractional coordinates):
Li 0.000 0.825 0.000
Li 0.175 0.175 0.333
Li 0.192 0.674 0.534
Li 0.326 0.518 0.867
Li 0.482 0.808 0.201
Li 0.825 0.000 0.667
Mn 0.322 0.009 0.762
Mn 0.492 0.324 0.102
Mn 0.676 0.168 0.435
Mn 0.687 0.678 0.429
Mn 0.832 0.508 0.769
Mn 0.991 0.313 0.095
F 0.139 0.601 0.167
F 0.163 0.138 0.692
F 0.172 0.722 0.679
F 0.210 0.197 0.187
F 0.278 0.450 0.012
F 0.339 0.032 0.033
F 0.384 0.011 0.503
F 0.399 0.538 0.500
F 0.462 0.861 0.834
F 0.469 0.302 0.842
F 0.534 0.316 0.354
F 0.550 0.828 0.346
F 0.627 0.616 0.170
F 0.684 0.218 0.687
F 0.693 0.661 0.700
F 0.698 0.167 0.175
F 0.782 0.466 0.020
F 0.803 0.012 0.520
F 0.833 0.531 0.509
F 0.862 0.025 0.026
F 0.968 0.307 0.366
F 0.975 0.837 0.359
F 0.988 0.790 0.854
F 0.989 0.373 0.836


This record from Alexandria describes an optimized crystal structure of Li2MnF4. The functional is PBEsol.

Properties
Formation energy without anion corrections (eV per formula unit): -18.43
Relative energy among the computed polymorphs (meV/atom): 0
Fermi-level density of states (states/eV per atom): 0.00

a = 5.640 Å, b = 5.640 Å, c = 5.640 Å
α = 110.20°, β = 110.20°, γ = 108.03°
Atoms (fractional coordinates):
Li 0.256 0.000 0.256
Li 0.744 0.000 0.744
Li 0.750 0.506 0.756
Li 0.750 0.994 0.244
Mn 0.117 0.617 0.500
Mn 0.367 0.367 0.000
F 0.041 0.235 0.194
F 0.041 0.847 0.806
F 0.463 0.161 0.698
F 0.463 0.765 0.302
F 0.515 0.713 0.802
F 0.597 0.291 0.306
F 0.911 0.713 0.198
F 0.985 0.291 0.694


This record from Alexandria describes an optimized crystal structure of Li2MnF6. The functional is PBEsol.

Properties
Formation energy without anion corrections (eV per formula unit): -23.77
Relative energy among the computed polymorphs (meV/atom): 32
Fermi-level density of states (states/eV per atom): 0.00

a = 8.486 Å, b = 8.486 Å, c = 4.368 Å
α = 90.00°, β = 90.00°, γ = 120.00°
Atoms (fractional coordinates):
Li 0.000 0.342 0.000
Li 0.000 0.658 0.000
Li 0.342 0.000 0.000
Li 0.342 0.342 0.000
Li 0.658 0.000 0.000
Li 0.658 0.658 0.000
Mn 0.000 0.000 0.000
Mn 0.333 0.667 0.508
Mn 0.667 0.333 0.492
F 0.105 0.210 0.781
F 0.105 0.895 0.781
F 0.130 0.565 0.748
F 0.210 0.105 0.219
F 0.232 0.464 0.271
F 0.232 0.768 0.271
F 0.435 0.565 0.748
F 0.435 0.870 0.748
F 0.464 0.232 0.729
F 0.536 0.768 0.271
F 0.565 0.130 0.252
F 0.565 0.435 0.252
F 0.768 0.232 0.729
F 0.768 0.536 0.729
F 0.790 0.895 0.781
F 0.870 0.435 0.252
F 0.895 0.105 0.219
F 0.895 0.790 0.219


This record from Alexandria describes an optimized crystal structure of Li3Mn5F15. The functional is PBEsol.

Properties
Formation energy without anion corrections (eV per formula unit): -56.65
Fermi-level density of states (states/eV per atom): 0.20

a = 12.778 Å, b = 12.778 Å, c = 3.894 Å
α = 90.00°, β = 90.00°, γ = 90.00°
Atoms (fractional coordinates):
Li 0.000 0.000 0.000
Li 0.164 0.336 0.983
Li 0.336 0.836 0.983
Li 0.500 0.500 0.000
Li 0.664 0.164 0.983
Li 0.836 0.664 0.983
Mn 0.000 0.500 0.980
Mn 0.079 0.787 0.981
Mn 0.213 0.079 0.981
Mn 0.287 0.579 0.981
Mn 0.421 0.287 0.981
Mn 0.500 0.000 0.980
Mn 0.579 0.713 0.981
Mn 0.713 0.421 0.981
Mn 0.787 0.921 0.981
Mn 0.921 0.213 0.981
F 0.000 0.500 0.480
F 0.016 0.340 0.981
F 0.065 0.132 0.983
F 0.080 0.785 0.481
F 0.132 0.935 0.983
F 0.160 0.484 0.981
F 0.215 0.080 0.481
F 0.234 0.734 0.981
F 0.266 0.234 0.981
F 0.285 0.580 0.481
F 0.340 0.984 0.981
F 0.368 0.435 0.983
F 0.420 0.285 0.481
F 0.435 0.632 0.983
F 0.484 0.840 0.981
F 0.500 0.000 0.480
F 0.516 0.160 0.981
F 0.565 0.368 0.983
F 0.580 0.715 0.481
F 0.632 0.565 0.983
F 0.660 0.016 0.981
F 0.715 0.420 0.481
F 0.734 0.766 0.981
F 0.766 0.266 0.981
F 0.785 0.920 0.481
F 0.840 0.516 0.981
F 0.868 0.065 0.983
F 0.920 0.215 0.481
F 0.935 0.868 0.983
F 0.984 0.660 0.981


This record from Alexandria describes an optimized crystal structure of Li2Mn7F16. The functional is PBEsol.

Properties
Formation energy without anion corrections (eV per formula unit): -57.62

a = 9.287 Å, b = 9.287 Å, c = 9.287 Å
α = 40.25°, β = 40.25°, γ = 40.25°
Atoms (fractional coordinates):
Li 0.176 0.176 0.176
Li 0.824 0.824 0.824
Mn 0.017 0.769 0.383
Mn 0.231 0.617 0.983
Mn 0.383 0.017 0.769
Mn 0.500 0.500 0.500
Mn 0.617 0.983 0.231
Mn 0.769 0.383 0.017
Mn 0.983 0.231 0.617
F 0.096 0.096 0.096
F 0.097 0.326 0.671
F 0.126 0.693 0.568
F 0.277 0.277 0.277
F 0.307 0.432 0.874
F 0.326 0.671 0.097
F 0.329 0.903 0.674
F 0.432 0.874 0.307
F 0.568 0.126 0.693
F 0.671 0.097 0.326
F 0.674 0.329 0.903
F 0.693 0.568 0.126
F 0.723 0.723 0.723
F 0.874 0.307 0.432
F 0.903 0.674 0.329
F 0.904 0.904 0.904